The following is a DFT calculation (PBE) of Tc2NiBAu after structural relaxation.

The calculation puts the formation energy from the elements at 2.7285 eV per atom. The value obtained for the volume is 22.67 Å³/atom. The energy is -22.83 eV/cell.

The space group is P4/mmm (No. 123) and the conventional cell measures 4.9548, 4.9548 and 4.6160 Å, with angles of 90.00, 90.00 and 90.00 degrees. The distinct sites, in fractional coordinates, are Tc at (0.0000, 0.5000, 0.0000), Ni at (0.0000, 0.0000, 0.5000), B at (0.5000, 0.5000, 0.5000) and Au at (0.0000, 0.0000, 0.0000).

=====

The following is a DFT calculation (PBE) of TiNi2BAu after structural relaxation.

The calculation puts the formation energy from the elements at 0.0214 eV per atom. The value obtained for the volume is 13.19 Å³/atom. The energy is -29.31 eV/cell.

The space group is P4/mmm (No. 123) and the conventional cell measures 3.9400, 3.9400 and 4.2485 Å, with angles of 90.00, 90.00 and 90.00 degrees. The distinct sites, in fractional coordinates, are Ti at (0.0000, 0.0000, 0.0000), Ni at (0.0000, 0.5000, 0.5000), B at (0.5000, 0.5000, 0.5000) and Au at (0.5000, 0.5000, 0.0000).